Entry 1:
Entry from Alexandria via LeMat-Bulk: a relaxed structure of RbGaHg2 (PBE-GGA).

Geometry as POSCAR:
```
RbGaHg2
1.0
-0.9955 -0.6147 3.6902
-0.6619 -3.7294 -0.7998
7.7243 -1.7552 1.7915
Ga Hg Rb
1 2 1
direct
0.5000 0.5000 0.0000 Ga
0.0000 0.0000 0.8067 Hg
0.0000 0.0000 0.1933 Hg
0.5000 0.5000 0.5000 Rb
```

SG	P4/mmm (123)
DFT total energy	-1.208	eV/atom
density of states at the Fermi level	2.16	states/eV/f.u.
energy of formation from the pure elements	-0.058	eV per atom
V	30.43	A^3/atom

=====

Entry 2:
Entry from Alexandria via LeMat-Bulk: a relaxed structure of RbGaHg (PBE-GGA).

Geometry as POSCAR:
```
RbGaHg
1.0
5.1415 0.0000 0.0001
0.0000 5.6910 -0.6783
-0.0002 -2.1906 6.8758
Rb Ga Hg
2 2 2
direct
0.8124 0.7962 0.0698 Rb
0.3124 0.3608 0.1037 Rb
0.8114 0.0013 0.6382 Ga
0.3115 0.1567 0.5348 Ga
0.8122 0.4245 0.4700 Hg
0.3122 0.7338 0.7033 Hg
```

SG	P2_1 (4)
DFT total energy	-1.490	eV/atom
density of states at the Fermi level	0.92	states/eV/f.u.
energy of formation from the pure elements	-0.058	eV per atom
V	32.26	A^3/atom
E above lowest polymorph	58	meV per atom

=====

Entry 3:
Entry from Alexandria via LeMat-Bulk: a relaxed structure of RbGaHg (PBE-GGA).

Geometry as POSCAR:
```
RbGaHg
1.0
-2.1729 -2.0884 -3.3030
-1.8120 -4.0238 0.7005
-10.8674 5.5021 3.6469
Ga Rb Hg
2 2 2
direct
0.8334 0.3336 0.5001 Ga
0.1666 0.6664 0.4999 Ga
0.5008 0.0016 0.2849 Rb
0.4992 0.9984 0.7151 Rb
0.8336 0.3340 0.0707 Hg
0.1664 0.6660 0.9293 Hg
```

SG	C2/m (12)
DFT total energy	-1.547	eV/atom
density of states at the Fermi level	2.38	states/eV/f.u.
energy of formation from the pure elements	-0.115	eV per atom
V	36.62	A^3/atom
E above lowest polymorph	0	meV per atom

=====

Entry 4:
Entry from Alexandria via LeMat-Bulk: a relaxed structure of Rb2GaHg12 (PBE-GGA).

Geometry as POSCAR:
```
Rb2GaHg12
1.0
7.1815 0.0000 0.0000
0.0000 7.1815 0.0000
0.0000 0.0000 18.4545
Rb Ga Hg
4 2 24
direct
0.5000 0.0000 0.2459 Rb
0.0000 0.5000 0.2459 Rb
0.0000 0.5000 0.7541 Rb
0.5000 0.0000 0.7541 Rb
0.5000 0.0000 0.0000 Ga
0.0000 0.5000 0.0000 Ga
0.5000 0.5000 0.8184 Hg
0.0000 0.0000 0.8184 Hg
0.7509 0.7491 0.9143 Hg
0.2509 0.7509 0.9143 Hg
0.0000 0.0000 0.3487 Hg
0.2491 0.7491 0.0857 Hg
0.8424 0.3424 0.5665 Hg
0.5000 0.5000 0.3487 Hg
0.2491 0.2509 0.9143 Hg
0.7491 0.7509 0.0857 Hg
0.3424 0.1576 0.5665 Hg
0.6576 0.1576 0.4335 Hg
0.0000 0.0000 0.6513 Hg
0.1576 0.3424 0.4335 Hg
0.2509 0.2491 0.0857 Hg
0.8424 0.6576 0.4335 Hg
0.6576 0.8424 0.5665 Hg
0.0000 0.0000 0.1816 Hg
0.1576 0.6576 0.5665 Hg
0.5000 0.5000 0.6513 Hg
0.7491 0.2491 0.9143 Hg
0.5000 0.5000 0.1816 Hg
0.3424 0.8424 0.4335 Hg
0.7509 0.2509 0.0857 Hg
```

SG	P4/nbm (125)
DFT total energy	-0.688	eV/atom
density of states at the Fermi level	4.93	states/eV/f.u.
energy of formation from the pure elements	-0.116	eV per atom
V	31.73	A^3/atom

=====

Entry 5:
Entry from Alexandria via LeMat-Bulk: a relaxed structure of Rb2Ga2Hg (PBE-GGA).

Geometry as POSCAR:
```
Rb2Ga2Hg
1.0
-1.7391 -2.4449 9.9177
-7.9871 -5.9459 -2.8663
2.3125 -2.9511 -0.3220
Ga Hg Rb
4 2 4
direct
0.4166 0.9166 0.0000 Ga
0.9166 0.5834 0.0000 Ga
0.5834 0.0834 0.0000 Ga
0.0834 0.4166 0.0000 Ga
0.0000 0.0000 0.0000 Hg
0.5000 0.5000 0.0000 Hg
0.2041 0.7041 0.5000 Rb
0.7041 0.7959 0.5000 Rb
0.7959 0.2959 0.5000 Rb
0.2959 0.2041 0.5000 Rb
```

SG	P4/mbm (127)
DFT total energy	-1.553	eV/atom
density of states at the Fermi level	1.66	states/eV/f.u.
energy of formation from the pure elements	0.105	eV per atom
V	40.40	A^3/atom
E above lowest polymorph	120	meV per atom

=====

Entry 6:
Entry from Alexandria via LeMat-Bulk: a relaxed structure of RbGaHg (PBE-GGA).

Geometry as POSCAR:
```
RbGaHg
1.0
5.4571 0.0000 0.0000
0.0000 4.7800 0.0000
0.0000 -2.3900 4.1396
Ga Hg Rb
1 1 1
direct
0.1667 0.6667 0.3333 Ga
0.1666 0.0000 0.0000 Hg
0.6667 0.3333 0.6667 Rb
```

SG	P-6m2 (187)
DFT total energy	-1.503	eV/atom
density of states at the Fermi level	2.19	states/eV/f.u.
energy of formation from the pure elements	-0.071	eV per atom
V	35.99	A^3/atom
E above lowest polymorph	44	meV per atom

=====

Look up the density of states at the Fermi level of the fifth one.
1.66 states/eV/f.u.